The following is a DFT calculation (GGA-PBE) of a relaxed structure of Sc2Te3.

Output
The crystal system is triclinic. The calculated total energy comes out at -28.2 eV/f.u. The density of states at the Fermi level is 0.20 states/eV/f.u.

Unit cell a=7.167 b=7.170 c=13.839 alpha=94.87 beta=95.00 gamma=120.02
Element x y z (fractional)
Sc 0.328 0.664 0.000
Sc 0.000 0.000 0.000
Sc 0.672 0.336 0.000
Sc 0.082 0.749 0.246
Sc 0.918 0.251 0.754
Sc 0.831 0.164 0.493
Sc 0.500 0.500 0.500
Sc 0.169 0.836 0.507
Te 0.376 0.042 0.124
Te 0.794 0.466 0.375
Te 0.130 0.122 0.375
Te 0.042 0.374 0.127
Te 0.293 0.292 0.875
Te 0.624 0.958 0.876
Te 0.549 0.213 0.625
Te 0.870 0.878 0.625
Te 0.206 0.534 0.625
Te 0.707 0.708 0.125
Te 0.958 0.626 0.873
Te 0.451 0.787 0.375